RbMo2O2 | GGA+U | optimized geometry

Summary:
Magnetic moment (μB per atom): 0.60
Raw total energy (eV per atom): -4.98

Lattice parameters (Å, degrees): 4.268 4.268 5.250 66.02 66.02 90.00
Last column: magnetic moment on the atom in μB.
Fractional positions:
O 0.750 0.250 0.500  -0.01
O 0.250 0.750 0.500  -0.01
Rb 0.000 0.000 0.000  0.03
Mo 0.645 0.645 0.711  1.38
Mo 0.355 0.355 0.289  1.38

=====

RbMoRhO6 | GGA+U | optimized geometry

Summary:
Magnetic moment (μB per atom): 0.22
Raw total energy (eV per atom): -6.21

Lattice parameters (Å, degrees): 5.312 5.312 6.312 90.00 90.00 60.00
Last column: magnetic moment on the atom in μB.
Fractional positions:
Rh 0.333 0.333 0.500  1.00
O 0.612 0.392 0.672  0.14
O 0.612 0.996 0.328  0.14
O 0.996 0.392 0.328  0.14
O 0.392 0.996 0.672  0.14
O 0.996 0.612 0.672  0.14
O 0.392 0.612 0.328  0.14
Mo 0.667 0.667 0.500  -0.09
Rb 0.000 0.000 0.000  0.00

=====

RbMoSO2 | GGA+U | optimized geometry

Summary:
Magnetic moment (μB per atom): 1.00
Raw total energy (eV per atom): -3.50

Lattice parameters (Å, degrees): 4.245 5.482 4.245 90.00 90.00 90.00
Last column: magnetic moment on the atom in μB.
Fractional positions:
Rb 0.000 0.500 0.000  0.09
S 0.000 0.000 0.000  -0.04
O 0.500 0.000 0.000  -0.02
O 0.000 0.000 0.500  -0.05
Mo 0.500 0.500 0.500  4.29